ZnGa11 after structural relaxation, computed with PBE-GGA.

Total energy (eV/atom): -2.848
Energy of formation (eV/f.u.): 0.39

```
12
Lattice="2.7889 0.0000 0.0000 0.0000 8.3634 -4.8288 0.0000 0.0000 9.6575" Properties=species:S:1:pos:R:3 pbc="T T T"
Ga 0.0000 0.0000 4.8287
Ga 1.3944 1.3966 7.2381
Ga 1.3944 5.5705 4.8287
Ga 1.3944 6.9668 -2.4094
Ga 0.0000 5.5754 0.0000
Ga 0.0000 2.7880 4.8287
Ga 0.0000 4.1817 -2.4144
Ga 1.3944 1.3966 2.4193
Ga 1.3944 6.9668 2.4094
Ga 0.0000 4.1817 2.4143
Ga 1.3944 2.7929 0.0000
Zn 0.0000 0.0000 0.0000
```

ZnGa5 after structural relaxation, computed with PBE-GGA.

Total energy (eV/atom): -2.716
Polymorph energy (0 for the lowest one) (eV per formula unit): 0.00
Energy of formation (eV/f.u.): 0.11

```
6
Lattice="4.1216 0.0000 0.0000 0.0000 4.0501 0.0000 0.0000 -2.0250 6.5419" Properties=species:S:1:pos:R:3 pbc="T T T"
Ga 2.0608 2.0250 4.4079
Ga 2.0608 0.0000 2.1340
Ga 0.0000 0.0000 4.4076
Ga 2.0608 2.0250 0.0000
Ga 0.0000 2.0250 2.1343
Zn 0.0000 0.0000 0.0000
```

ZnGa4 after structural relaxation, computed with PBE-GGA.

Total energy (eV/atom): -2.635
Polymorph energy (0 for the lowest one) (eV per formula unit): 0.06
Energy of formation (eV/f.u.): 0.20

```
5
Lattice="-0.3754 -2.2229 -1.8693 1.2859 -2.5234 0.4484 -10.2083 -5.0320 5.7401" Properties=species:S:1:pos:R:3 pbc="T T T"
Ga -6.2475 -3.4824 3.1018
Ga -4.3362 -3.7726 0.7689
Ga -8.4755 -5.3921 3.5262
Ga -2.1082 -1.8628 0.3446
Zn 0.0000 0.0000 0.0000
```

Zn13Ga2 after structural relaxation, computed with PBE-GGA.

Total energy (eV/atom): -1.388
Energy of formation (eV/f.u.): 1.79

```
15
Lattice="7.1235 0.0000 0.0000 3.5617 6.1691 0.0000 3.5617 2.0564 6.4272" Properties=species:S:1:pos:R:3 pbc="T T T"
Ga 3.5617 2.0564 1.2052
Ga 10.6852 6.1691 5.2221
Zn 4.8445 5.4285 2.6652
Zn 7.1235 4.1127 3.2136
Zn 8.4816 3.3286 1.1521
Zn 4.8445 2.7970 3.7621
Zn 7.1235 5.6810 1.1521
Zn 5.7654 3.3286 1.1521
Zn 8.4816 4.8968 5.2751
Zn 7.1235 1.4812 2.6652
Zn 7.1235 2.5445 5.2751
Zn 7.1235 6.7443 3.7621
Zn 5.7654 4.8968 5.2751
Zn 9.4025 5.4285 2.6652
Zn 9.4025 2.7970 3.7621
```

Zn7Ga after structural relaxation, computed with PBE-GGA.

Total energy (eV/atom): -1.445
Polymorph energy (0 for the lowest one) (eV per formula unit): 0.17
Energy of formation (eV/f.u.): 0.39

```
8
Lattice="5.5992 0.0000 0.0000 2.7996 4.8491 0.0000 2.7996 1.6164 4.5718" Properties=species:S:1:pos:R:3 pbc="T T T"
Ga 0.0000 0.0000 0.0000
Zn 1.3998 2.4245 0.0000
Zn 2.7996 3.2327 2.2859
Zn 4.1994 2.4245 0.0000
Zn 4.1994 0.8082 2.2859
Zn 5.5992 3.2327 2.2859
Zn 2.7996 0.0000 0.0000
Zn 1.3998 0.8082 2.2859
```

Zn3Ga4 after structural relaxation, computed with PBE-GGA.

Total energy (eV/atom): -2.201
Polymorph energy (0 for the lowest one) (eV per formula unit): 0.00
Energy of formation (eV/f.u.): 0.52

```
14
Lattice="5.6760 0.0000 0.0000 -1.8920 7.0950 0.0000 -1.8920 -3.5475 6.1445" Properties=species:S:1:pos:R:3 pbc="T T T"
Zn -2.5441 0.9166 5.1789
Zn 1.2399 0.4792 2.7613
Zn 2.5441 4.9433 1.7956
Zn 0.6521 3.0683 3.3832
Zn 4.4361 2.6309 0.9656
Zn -0.6521 -1.3958 4.3488
Ga 0.2844 1.0769 5.2485
Ga 4.0684 0.4594 2.5876
Ga 1.6076 2.4706 0.8959
Ga 2.1764 -1.5363 4.4528
Ga -0.2844 5.0838 1.6917
Ga 0.0000 0.0000 0.0000
Ga 2.8380 0.0000 0.0000
Ga -2.1764 3.0881 3.5569
```

Zn3Ga after structural relaxation, computed with PBE-GGA.

Total energy (eV/atom): -1.653
Energy of formation (eV/f.u.): 0.24

```
4
Lattice="-2.7631 -0.2137 -0.0804 0.3742 -4.3814 -1.2172 -0.0372 -1.3742 4.9352" Properties=species:S:1:pos:R:3 pbc="T T T"
Zn 0.3523 -5.0301 1.2611
Zn -1.2179 -2.9283 1.8345
Zn -1.3149 -0.8869 -0.2569
Ga 0.2533 -2.9659 -0.8239
```

Zn3Ga after structural relaxation, computed with PBE-GGA.

Total energy (eV/atom): -1.660
Energy of formation (eV/f.u.): 0.21

```
4
Lattice="2.9218 0.0000 0.0000 0.0000 4.8834 0.0000 -1.4609 -2.4417 4.5224" Properties=species:S:1:pos:R:3 pbc="T T T"
Zn 1.4609 -0.8184 2.3067
Zn 1.4609 2.4677 0.0000
Zn 0.0000 1.6233 2.2157
Ga 0.0000 4.8665 0.0000
```

ZnGa7 after structural relaxation, computed with PBE-GGA.

Total energy (eV/atom): -2.788
Energy of formation (eV/f.u.): 0.16

```
8
Lattice="-5.5762 1.8476 -0.6542 -4.4854 -3.6478 1.2289 -3.3724 0.9611 4.7580" Properties=species:S:1:pos:R:3 pbc="T T T"
Ga -2.2427 -1.8239 0.6145
Ga -3.9289 -1.3433 2.9935
Ga -5.0308 -0.9001 0.2874
Ga -6.7170 -0.4195 2.6664
Ga -4.4743 1.4044 2.0519
Ga -1.6862 0.4806 2.3790
Ga -2.7881 0.9238 -0.3271
Zn 0.0000 0.0000 0.0000
```

Zn2Ga after structural relaxation, computed with PBE-GGA.

Total energy (eV/atom): -1.799
Energy of formation (eV/f.u.): 0.18

```
6
Lattice="5.2359 0.0000 0.0000 2.6180 4.5344 0.0000 2.6180 1.5115 4.2751" Properties=species:S:1:pos:R:3 pbc="T T T"
Zn 6.5449 3.7787 2.6719
Zn 5.2359 1.5115 2.6719
Zn 3.9269 3.7787 2.6719
Zn 5.2359 3.0230 0.5344
Ga 2.6180 1.5115 1.0688
Ga 0.0000 0.0000 0.0000
```

ZnGa after structural relaxation, computed with PBE-GGA.

Total energy (eV/atom): -1.979
Energy of formation (eV/f.u.): 0.34

```
32
Lattice="-1.8208 -6.7872 -0.8759 6.0808 -2.7984 9.0446 -6.5732 1.1473 4.7742" Properties=species:S:1:pos:R:3 pbc="T T T"
Zn -1.5047 -5.6091 -0.7238
Zn 2.7781 -2.3306 7.9101
Zn -1.1726 -4.3250 2.9498
Zn -1.7509 -6.4346 6.1856
Zn 1.8140 -5.9709 3.9323
Zn -4.5130 -3.9981 1.7971
Zn -2.0510 -7.5069 9.5552
Zn 2.4461 -3.6147 4.2364
Zn -1.4189 -5.1506 9.8593
Zn 2.1460 -4.6869 7.6060
Zn -0.3161 -1.1781 -0.1520
Zn -3.5489 -0.3578 5.7749
Zn -3.8809 -1.6418 2.1012
Zn -1.8047 -6.6813 2.6458
Zn -0.5623 -2.0037 6.7574
Zn -4.1810 -2.7141 5.4708
Ga -1.8910 -3.8812 5.3792
Ga 2.2861 -7.2404 8.4124
Ga -0.0901 -3.2731 11.2375
Ga 2.3060 -1.0612 3.4300
Ga -5.5097 -4.5916 4.0926
Ga 2.0598 -1.8868 10.3394
Ga -4.0409 -5.2675 6.2772
Ga -1.3127 -1.7716 2.1434
Ga 4.4360 -5.8540 7.5143
Ga 0.1561 -2.4476 4.3281
Ga -2.5522 0.2357 3.4794
Ga -0.1760 -3.7316 0.6544
Ga 3.7748 -1.7372 5.6146
Ga -0.4222 -4.5571 7.5638
Ga -1.5589 -2.5972 9.0528
Ga 0.8173 -6.5644 6.2278
```

Zn2Ga after structural relaxation, computed with PBE-GGA.

Total energy (eV/atom): -1.810
Energy of formation (eV/f.u.): 0.14

```
6
Lattice="2.8394 0.0000 -0.3248 0.0000 5.0356 0.0000 -0.6377 0.0000 6.9990" Properties=species:S:1:pos:R:3 pbc="T T T"
Ga 2.0342 2.5178 5.2098
Ga 0.5151 0.0000 4.5030
Zn 0.3512 2.5178 3.0706
Zn 1.5183 2.5178 0.6992
Zn 1.6687 0.0000 2.0145
Zn 2.1980 0.0000 6.6422
```

Zn3Ga4 after structural relaxation, computed with PBE-GGA.

Total energy (eV/atom): -1.937
Polymorph energy (0 for the lowest one) (eV per formula unit): 1.85
Energy of formation (eV/f.u.): 2.37

```
7
Lattice="-2.6083 5.2226 2.0784 -4.0773 -0.1807 -4.6628 -3.8693 -3.3302 3.5125" Properties=species:S:1:pos:R:3 pbc="T T T"
Ga -7.0040 1.1358 0.6158
Ga -4.4042 2.2845 0.9921
Ga -4.8848 0.5167 -1.2133
Ga -4.8167 -0.5137 1.4613
Zn -3.3428 2.5210 -1.2922
Zn -3.9733 -1.7555 -0.5752
Zn -3.2388 0.9462 2.7954
```

Zn4Ga3 after structural relaxation, computed with PBE-GGA.

Total energy (eV/atom): -1.976
Polymorph energy (0 for the lowest one) (eV per formula unit): 0.00
Energy of formation (eV/f.u.): 0.35

```
7
Lattice="2.7849 0.0000 0.0000 0.0000 3.8994 0.0000 -1.3925 -1.9497 10.6821" Properties=species:S:1:pos:R:3 pbc="T T T"
Zn 1.3925 0.0000 4.6463
Zn 1.3925 0.0000 1.5524
Zn 0.0000 1.9497 9.1296
Zn 0.0000 1.9497 6.0357
Ga 0.0000 1.9497 0.0000
Ga 0.0000 1.9497 3.0948
Ga 1.3925 0.0000 7.5873
```

Zn3Ga5 after structural relaxation, computed with PBE-GGA.

Total energy (eV/atom): -2.303
Polymorph energy (0 for the lowest one) (eV per formula unit): 0.14
Energy of formation (eV/f.u.): 0.54

```
16
Lattice="5.2424 0.0000 0.0000 0.0000 7.9677 0.0000 0.0000 -3.9839 6.9002" Properties=species:S:1:pos:R:3 pbc="T T T"
Ga 2.6212 0.0000 4.6002
Ga 1.3106 0.8563 1.4831
Ga 3.9318 -0.8563 1.4831
Ga 0.0000 3.9839 2.3001
Ga 2.6212 3.9839 2.3001
Ga 1.3106 -3.1276 5.4171
Ga 3.9318 3.1276 5.4171
Ga 1.3106 6.2552 0.0000
Ga 3.9318 1.7125 0.0000
Ga 0.0000 0.0000 4.6002
Zn 1.3106 2.3346 4.0436
Zn 1.3106 3.2985 0.0000
Zn 3.9318 1.6493 2.8566
Zn 3.9318 -2.3346 4.0436
Zn 1.3106 -1.6493 2.8566
Zn 3.9318 4.6692 0.0000
```

Zn2Ga after structural relaxation, computed with PBE-GGA.

Total energy (eV/atom): -1.773
Energy of formation (eV/f.u.): 0.26

```
3
Lattice="3.2248 0.0000 0.0000 0.0000 3.2248 0.0000 -1.6124 -1.6124 4.8286" Properties=species:S:1:pos:R:3 pbc="T T T"
Zn 0.0000 0.0000 3.1699
Zn 1.6124 1.6124 1.6587
Ga 0.0000 0.0000 0.0000
```

ZnGa after structural relaxation, computed with PBE-GGA.

Total energy (eV/atom): -2.097
Energy of formation (eV/f.u.): 0.11

```
16
Lattice="4.5212 0.0000 0.0000 0.0000 6.6871 0.0000 0.0000 0.0000 9.3418" Properties=species:S:1:pos:R:3 pbc="T T T"
Ga 3.9246 6.5158 6.5216
Ga 2.7770 4.5378 8.7293
Ga 2.8572 0.1713 1.8507
Ga 4.0047 2.1493 4.0584
Ga 1.6640 3.5149 2.8202
Ga 0.5966 3.1722 7.4911
Ga 1.7441 1.1942 5.2835
Ga 0.5165 5.4928 0.6125
Zn 2.8667 3.5652 6.1384
Zn 3.9151 3.1219 1.4675
Zn 0.6061 6.4655 3.2034
Zn 2.8659 5.5197 4.2305
Zn 3.9158 1.1674 8.9014
Zn 1.6552 2.1762 0.4404
Zn 1.6545 0.2216 7.8743
Zn 0.6053 4.5109 5.1113
```

Zn2Ga after structural relaxation, computed with PBE-GGA.

Total energy (eV/atom): -1.828
Energy of formation (eV/f.u.): 0.09

```
3
Lattice="2.8337 0.1205 -0.1772 1.3068 2.5172 -0.1772 0.4230 0.2695 6.9482" Properties=species:S:1:pos:R:3 pbc="T T T"
Zn 3.0396 1.9364 4.3481
Zn 1.5239 0.9708 2.2457
Ga 0.0000 0.0000 0.0000
```

Zr3Zn3Ga after structural relaxation, computed with PBE-GGA.

Total energy (eV/atom): -4.967
Energy of formation (eV/f.u.): -2.27

```
7
Lattice="-0.5889 0.6715 4.1309 -3.1051 -1.0915 -0.2652 4.7242 -8.4156 -0.1207" Properties=species:S:1:pos:R:3 pbc="T T T"
Zn -1.4548 -1.3858 2.1799
Zn 1.7665 -5.8427 3.3635
Zn -0.7441 -2.9695 0.3766
Ga 2.4948 -7.4791 1.5713
Zr 0.8609 -3.1279 2.7932
Zr 1.0293 -8.8326 3.7444
Zr 0.1684 -5.7050 0.9513
```

ZrZn11Ga after structural relaxation, computed with PBE-GGA.

Total energy (eV/atom): -2.047
Energy of formation (eV/f.u.): -1.02

```
13
Lattice="1.0997 -3.1559 4.0563 -2.2342 -6.2484 -0.8337 5.9157 -3.1403 -0.6421" Properties=species:S:1:pos:R:3 pbc="T T T"
Zn 2.7524 -7.1806 0.4541
Zn -1.1171 -3.1242 -0.4169
Zn 4.7419 -5.3488 1.3324
Zn 2.0289 -5.3640 2.1264
Zn 2.9579 -1.5701 -0.3211
Zn 3.6834 -9.6746 1.7364
Zn 0.0393 -7.1958 1.2480
Zn 1.0978 -2.8699 0.8441
Zn 1.7377 -8.3030 3.2608
Zn 3.5077 -3.1481 1.7071
Zn 3.0436 -4.2415 -0.6803
Zr 0.0000 0.0000 0.0000
Ga -0.5672 -4.7021 1.6113
```

Zr3ZnGa after structural relaxation, computed with PBE-GGA.

Total energy (eV/atom): -6.049
Polymorph energy (0 for the lowest one) (eV per formula unit): 0.00
Energy of formation (eV/f.u.): -0.30

```
20
Lattice="-1.2540 -1.6248 5.8718 2.8624 -5.2394 1.7455 9.6292 5.2805 4.9805" Properties=species:S:1:pos:R:3 pbc="T T T"
Ga 2.2894 -1.3023 5.9781
Ga 6.2458 0.0206 3.3630
Ga -0.6270 -0.8124 2.9359
Ga 8.9481 -0.2813 6.6198
Zn 2.6687 -2.1842 3.6108
Zn 8.5688 0.6006 8.9871
Zn 6.7864 1.0680 6.7996
Zn 4.4511 -2.6516 5.7983
Zr 3.8543 0.6189 4.5036
Zr 4.0940 -3.9878 8.3345
Zr 7.1436 2.4042 4.2634
Zr 1.7015 -4.0814 6.4733
Zr 9.5361 2.4978 6.1246
Zr 7.3832 -2.2025 8.0943
Zr 9.4554 -1.8277 10.2766
Zr 4.2357 0.0705 7.3659
Zr -0.1254 -2.2636 5.0599
Zr 11.3630 0.6800 7.5379
Zr 1.7822 0.2441 2.3212
Zr 7.0019 -1.6541 5.2320
```

ZrZn2Ga3 after structural relaxation, computed with PBE-GGA.

Total energy (eV/atom): -3.637
Energy of formation (eV/f.u.): -1.64

```
6
Lattice="4.0281 0.0000 0.0000 0.0000 3.8109 -1.2885 0.0000 0.0795 6.5149" Properties=species:S:1:pos:R:3 pbc="T T T"
Zn 0.0000 2.5955 1.3965
Zn 0.0000 1.2949 3.8298
Zr 0.0000 0.0000 0.0000
Ga 2.0141 1.9054 -0.6443
Ga 2.0141 0.6820 2.0170
Ga 2.0141 3.2084 3.2094
```